<i>
ZrIrPb2 | SCAN | PBEsol geometry

The calculation puts the calculated volume at 254.2 Å³/cell. The value obtained for the density of states at the Fermi level is 0.98 states/eV/atom. The calculation puts the total magnetic moment at 0.0000 μB per atom.

Cell lengths 3.2837, 3.2837, 27.2269 Å; angles 90.00, 90.00, 120.00 degrees
Atoms (fractional coordinates):
Zr1 0.0000 0.0000 0.0000
Zr2 0.3333 0.6667 0.6667
Zr3 0.6667 0.3333 0.3333
Ir1 0.0000 0.0000 0.5000
Ir2 0.3333 0.6667 0.1667
Ir3 0.6667 0.3333 0.8333
Pb1 0.0000 0.0000 0.2420
Pb2 0.0000 0.0000 0.7580
Pb3 0.3333 0.6667 0.4246
Pb4 0.3333 0.6667 0.9087
Pb5 0.6667 0.3333 0.0913
Pb6 0.6667 0.3333 0.5754



<ii>
ZrIrPb2 | SCAN | PBEsol geometry

The calculation puts the calculated volume at 340.8 Å³/cell. The value obtained for the density of states at the Fermi level is 1.05 states/eV/atom. The calculation puts the total magnetic moment at 0.0002 μB per atom.

Cell lengths 6.9848, 6.9848, 6.9848 Å; angles 90.00, 90.00, 90.00 degrees
Atoms (fractional coordinates):
Zr1 0.0000 0.0000 0.0000
Zr2 0.0000 0.5000 0.5000
Zr3 0.5000 0.0000 0.5000
Zr4 0.5000 0.5000 0.0000
Ir1 0.2500 0.2500 0.2500
Ir2 0.2500 0.7500 0.7500
Ir3 0.7500 0.2500 0.7500
Ir4 0.7500 0.7500 0.2500
Pb1 0.0000 0.0000 0.5000
Pb2 0.0000 0.5000 0.0000
Pb3 0.2500 0.2500 0.7500
Pb4 0.2500 0.7500 0.2500
Pb5 0.5000 0.0000 0.0000
Pb6 0.5000 0.5000 0.5000
Pb7 0.7500 0.2500 0.2500
Pb8 0.7500 0.7500 0.7500



Which of them is the least stable? Correct choice: <i>.



<i>
Li2SiPb | SCAN | PBEsol geometry

The calculation puts the calculated volume at 231.8 Å³/cell. The value obtained for the density of states at the Fermi level is 0.40 states/eV/atom. The calculation puts the total magnetic moment at 0.0000 μB per atom.

Cell lengths 3.1490, 3.1490, 26.9915 Å; angles 90.00, 90.00, 120.00 degrees
Atoms (fractional coordinates):
Li1 0.0000 0.0000 0.2412
Li2 0.0000 0.0000 0.7588
Li3 0.3333 0.6667 0.4255
Li4 0.3333 0.6667 0.9079
Li5 0.6667 0.3333 0.0921
Li6 0.6667 0.3333 0.5745
Si1 0.0000 0.0000 0.5000
Si2 0.3333 0.6667 0.1667
Si3 0.6667 0.3333 0.8333
Pb1 0.0000 0.0000 0.0000
Pb2 0.3333 0.6667 0.6667
Pb3 0.6667 0.3333 0.3333



<ii>
Li2SiPb | SCAN | PBEsol geometry

The calculation puts the calculated volume at 283.7 Å³/cell. The value obtained for the density of states at the Fermi level is 0.23 states/eV/atom. The calculation puts the total magnetic moment at 0.0000 μB per atom.

Cell lengths 6.5706, 6.5706, 6.5706 Å; angles 90.00, 90.00, 90.00 degrees
Atoms (fractional coordinates):
Li1 0.2500 0.2500 0.2500
Li2 0.2500 0.2500 0.7500
Li3 0.2500 0.7500 0.2500
Li4 0.2500 0.7500 0.7500
Li5 0.7500 0.2500 0.2500
Li6 0.7500 0.2500 0.7500
Li7 0.7500 0.7500 0.2500
Li8 0.7500 0.7500 0.7500
Si1 0.0000 0.0000 0.0000
Si2 0.0000 0.5000 0.5000
Si3 0.5000 0.0000 0.5000
Si4 0.5000 0.5000 0.0000
Pb1 0.0000 0.0000 0.5000
Pb2 0.0000 0.5000 0.0000
Pb3 0.5000 0.0000 0.0000
Pb4 0.5000 0.5000 0.5000



Which of them is the least stable? Correct choice: <i>.



<i>
Zr2SiSb | SCAN | PBEsol geometry

The calculation puts the calculated volume at 160.1 Å³/cell. The value obtained for the density of states at the Fermi level is 0.48 states/eV/atom. The calculation puts the total magnetic moment at 0.0000 μB per atom.

Cell lengths 6.3823, 7.8317, 3.2901 Å; angles 90.00, 103.24, 90.00 degrees
Atoms (fractional coordinates):
Zr1 0.2500 0.2500 0.0000
Zr2 0.2500 0.7500 0.0000
Zr3 0.7500 0.2500 0.0000
Zr4 0.7500 0.7500 0.0000
Si1 0.0000 0.0000 0.5000
Si2 0.5000 0.5000 0.5000
Sb1 0.0000 0.5000 0.5000
Sb2 0.5000 0.0000 0.5000



<ii>
Zr2SiSb | SCAN | PBEsol geometry

The calculation puts the calculated volume at 79.7 Å³/cell. The value obtained for the density of states at the Fermi level is 0.49 states/eV/atom. The calculation puts the total magnetic moment at 0.0000 μB per atom.

Cell lengths 3.9496, 3.9986, 5.0484 Å; angles 90.00, 90.00, 90.00 degrees
Atoms (fractional coordinates):
Zr1 0.0000 0.0000 0.0000
Zr2 0.0000 0.5000 0.5000
Si1 0.5000 0.0000 0.5000
Sb1 0.5000 0.5000 0.0000



Which of them is the least stable? Correct choice: <i>.



<i>
NiMo2Rh | SCAN | PBEsol geometry

The calculation puts the calculated volume at 54.1 Å³/cell. The value obtained for the density of states at the Fermi level is 0.66 states/eV/atom. The calculation puts the total magnetic moment at 0.0000 μB per atom.

Cell lengths 2.6761, 4.2924, 4.7076 Å; angles 90.00, 90.00, 90.00 degrees
Atoms (fractional coordinates):
Ni1 0.0000 0.0000 0.0000
Mo1 0.5000 0.0000 0.4951
Mo2 0.5000 0.5000 0.1520
Rh1 0.0000 0.5000 0.6683



<ii>
NiMo2Rh | SCAN | PBEsol geometry

The calculation puts the calculated volume at 54.0 Å³/cell. The value obtained for the density of states at the Fermi level is 0.68 states/eV/atom. The calculation puts the total magnetic moment at 0.0000 μB per atom.

Cell lengths 2.6695, 3.8390, 5.2731 Å; angles 90.00, 90.00, 90.00 degrees
Atoms (fractional coordinates):
Ni1 0.0000 0.0000 0.0000
Mo1 0.5000 0.5000 0.2443
Mo2 0.5000 0.5000 0.7557
Rh1 0.0000 0.0000 0.5000



Which of them is the least stable? Correct choice: <ii>.